No. 1
A relaxed SrTc3Ni crystal, computed with PBE.

Space group ... Pm-3m (221)
DOS at the Fermi energy ... 13.59 states/eV/f.u.
ΔH_f (0 K) ... 1296 meV per atom

Unit cell a=4.6154 b=4.6154 c=4.6154 alpha=90.00 beta=90.00 gamma=90.00
Sites, in units of the cell vectors:
Sr1 0.0000 0.0000 0.0000
Tc1 0.0000 0.5000 0.5000
Tc2 0.5000 0.0000 0.5000
Tc3 0.5000 0.5000 0.0000
Ni1 0.5000 0.5000 0.5000

***

No. 2
A relaxed UGaTcRh crystal, computed with PBE.

Space group ... F-43m (216)
DOS at the Fermi energy ... 6.20 states/eV/f.u.
ΔH_f (0 K) ... -343 meV per atom

Unit cell a=6.4928 b=6.4928 c=6.4928 alpha=90.00 beta=90.00 gamma=90.00
Sites, in units of the cell vectors:
U1 0.0000 0.0000 0.0000
U2 0.0000 0.5000 0.5000
U3 0.5000 0.0000 0.5000
U4 0.5000 0.5000 0.0000
Ga1 0.0000 0.0000 0.5000
Ga2 0.0000 0.5000 0.0000
Ga3 0.5000 0.0000 0.0000
Ga4 0.5000 0.5000 0.5000
Tc1 0.2500 0.2500 0.2500
Tc2 0.2500 0.7500 0.7500
Tc3 0.7500 0.2500 0.7500
Tc4 0.7500 0.7500 0.2500
Rh1 0.2500 0.2500 0.7500
Rh2 0.2500 0.7500 0.2500
Rh3 0.7500 0.2500 0.2500
Rh4 0.7500 0.7500 0.7500

***

No. 3
A relaxed Sn3SeO crystal, computed with PBE.

Space group ... Pm-3m (221)
DOS at the Fermi energy ... 4.35 states/eV/f.u.
Formation energy without anion corrections ... 0.796 eV/atom

Unit cell a=5.5519 b=5.5519 c=5.5519 alpha=90.00 beta=90.00 gamma=90.00
Sites, in units of the cell vectors:
Sn1 0.0000 0.0000 0.5000
Sn2 0.0000 0.5000 0.0000
Sn3 0.5000 0.0000 0.0000
Se1 0.0000 0.0000 0.0000
O1 0.5000 0.5000 0.5000

***

No. 4
A relaxed ReSe5 crystal, computed with PBE.

Space group ... Amm2 (38)
DOS at the Fermi energy ... 3.73 states/eV/f.u.
Formation energy without anion corrections ... 0.168 eV/atom

Unit cell a=3.4304 b=5.1590 c=18.4705 alpha=90.00 beta=90.00 gamma=90.00
Sites, in units of the cell vectors:
Re1 0.0000 0.0000 0.0000
Re2 0.0000 0.5000 0.5000
Se1 0.0000 0.0000 0.5275
Se2 0.0000 0.0000 0.7518
Se3 0.0000 0.5000 0.0275
Se4 0.0000 0.5000 0.2518
Se5 0.5000 0.0000 0.0985
Se6 0.5000 0.0000 0.6550
Se7 0.5000 0.0000 0.9041
Se8 0.5000 0.5000 0.1550
Se9 0.5000 0.5000 0.4041
Se10 0.5000 0.5000 0.5985